Material: Gd3Mg3Cd2Cu
Method: DFT, GGA-PBE
State: relaxed

The structure in POSCAR format:
```
Gd3Mg3Cd2Cu
1.0
7.423 0.000 0.000
-3.711 6.428 0.000
0.000 0.000 4.574
Gd Mg Cd Cu
3 3 2 1
Direct
0.000 0.408 0.000
0.408 0.000 0.000
0.592 0.592 0.000
0.000 0.768 0.500
0.232 0.232 0.500
0.768 0.000 0.500
0.333 0.667 0.500
0.667 0.333 0.500
0.000 0.000 0.000
```

## Properties
Electronic total energy   -2.9015 eV per atom
M_tot   0.7 Bohr magnetons per cell